1.
As2P: optimized geometry, PBE.

Values from the calculation:
- N(E_F) (states/eV per atom) = 0.5026
- polymorph energy (0 for the lowest one) (eV/atom) = 0.287
- ΔE_f (meV/atom) = 345.5

Lattice parameters (Å, degrees): 3.634 18.024 3.465 90.00 90.00 90.00
Space group Cmcm (No. 63)
Unique sites:
As  0.000  0.063  0.250
As  0.000  0.283  0.750
P  0.000  0.391  0.250

2.
Fe2PbBr: optimized geometry, PBE.

Values from the calculation:
- N(E_F) (states/eV per atom) = 1.3555
- polymorph energy (0 for the lowest one) (eV/atom) = 0.560
- E_form (uncorrected) (meV/atom) = 755

Lattice parameters (Å, degrees): 6.878 6.913 3.206 90.00 90.00 90.00
Space group Cmmm (No. 65)
Unique sites:
Fe  0.250  0.250  0.000
Pb  0.000  0.000  0.500
Br  0.000  0.500  0.500

3.
BaAlHgMo2: optimized geometry, PBE.

Values from the calculation:
- N(E_F) (states/eV per atom) = 1.3428
- ΔE_f (meV/atom) = 1094.4

Lattice parameters (Å, degrees): 5.005 5.005 5.077 90.00 90.00 90.00
Space group P4/mmm (No. 123)
Unique sites:
Ba  0.000  0.000  0.000
Al  0.500  0.500  0.500
Hg  0.500  0.500  0.000
Mo  0.000  0.500  0.500

4.
Zr2VAg: optimized geometry, PBE.

Values from the calculation:
- N(E_F) (states/eV per atom) = 1.1775
- polymorph energy (0 for the lowest one) (eV/atom) = 0.646
- ΔE_f (meV/atom) = 666.9

Lattice parameters (Å, degrees): 4.097 4.097 20.099 90.00 90.00 90.00
Space group I-42d (No. 122)
Unique sites:
Zr  0.247  0.250  0.125
V  0.000  0.000  0.000
Ag  0.000  0.000  0.500

5.
Ce6TcSb2: optimized geometry, PBE.

Values from the calculation:
- N(E_F) (states/eV per atom) = 2.7854
- E_form (uncorrected) (meV/atom) = -510

Lattice parameters (Å, degrees): 8.4216 8.4216 3.9756 90.00 90.00 120.00
Space group P-62m (No. 189)
Unique sites:
Ce  0.0000  0.4077  0.0000
Ce  0.0000  0.7574  0.5000
Tc  0.0000  0.0000  0.0000
Sb  0.3333  0.6667  0.5000

6.
Sc8Sn2Pb: optimized geometry, PBE.

Values from the calculation:
- N(E_F) (states/eV per atom) = 1.2964
- ΔE_f (meV/atom) = -303.3

Lattice parameters (Å, degrees): 18.442 4.757 6.380 90.00 104.26 90.00
Space group C2/m (No. 12)
Unique sites:
Sc  0.021  0.000  0.252
Sc  0.091  0.500  0.984
Sc  0.160  0.500  0.509
Sc  0.221  0.000  0.828
Sn  0.179  0.000  0.254
Pb  0.000  0.500  0.500

7.
SrLiPmGe: optimized geometry, PBE.

Values from the calculation:
- N(E_F) (states/eV per atom) = 0.5885
- ΔE_f (meV/atom) = -310.0

Lattice parameters (Å, degrees): 7.533 7.533 7.533 90.00 90.00 90.00
Space group F-43m (No. 216)
Unique sites:
Sr  0.000  0.000  0.000
Li  0.250  0.250  0.250
Pm  0.000  0.000  0.500
Ge  0.250  0.250  0.750

8.
NaZnSiAu3: optimized geometry, PBE.

Values from the calculation:
- N(E_F) (states/eV per atom) = 0.2935
- E_form (uncorrected) (meV/atom) = -92

Lattice parameters (Å, degrees): 6.691 14.356 5.966 90.00 90.00 90.00
Space group Cmcm (No. 63)
Unique sites:
Na  0.000  0.203  0.250
Zn  0.000  0.116  0.750
Si  0.000  0.457  0.750
Au  0.000  0.290  0.750
Au  0.217  0.000  0.000